A plane-wave DFT calculation with PBE was carried out for a relaxed MgFe2P2 crystal.

```
MgFe2P2
1.0
-2.540 -5.881 -1.992
3.161 -3.077 5.054
-2.142 0.391 1.578
P Mg Fe
4 2 4
direct
0.354 0.854 0.000 P
0.854 0.646 0.000 P
0.646 0.146 0.000 P
0.146 0.354 0.000 P
0.000 0.000 0.000 Mg
0.500 0.500 0.000 Mg
0.141 0.641 0.500 Fe
0.641 0.859 0.500 Fe
0.859 0.359 0.500 Fe
0.359 0.141 0.500 Fe
```



A plane-wave DFT calculation with PBE was carried out for a relaxed MgFeP2 crystal.

```
MgFeP2
1.0
5.500 0.000 0.000
0.000 5.500 0.000
2.750 2.750 5.203
P Mg Fe
4 2 2
direct
0.698 0.125 0.250 P
0.052 0.625 0.250 P
0.375 0.302 0.750 P
0.875 0.948 0.750 P
0.500 0.500 0.000 Mg
0.250 0.750 0.500 Mg
0.000 0.000 0.000 Fe
0.750 0.250 0.500 Fe
```



A plane-wave DFT calculation with PBE was carried out for a relaxed MgFe2P crystal.

```
MgFe2P
1.0
8.098 -0.052 -0.031
7.608 2.772 -0.031
7.608 1.318 2.439
Fe Mg P
2 1 1
direct
0.005 0.005 0.005 Fe
0.259 0.259 0.259 Fe
0.500 0.500 0.500 Mg
0.736 0.736 0.736 P
```



A plane-wave DFT calculation with PBE was carried out for a relaxed MgFeP crystal.

```
MgFeP
1.0
2.985 0.000 0.000
-1.492 2.585 0.000
0.000 0.000 5.769
Fe Mg P
1 1 1
direct
0.000 0.000 0.957 Fe
0.667 0.333 0.326 Mg
0.333 0.667 0.718 P
```



A plane-wave DFT calculation with PBE was carried out for a relaxed MgFe2P crystal.

```
MgFe2P
1.0
-1.048 -1.911 3.276
3.220 -2.243 -0.278
1.498 1.950 1.617
Fe Mg P
2 1 1
direct
0.000 0.000 0.000 Fe
0.500 0.500 0.000 Fe
0.500 0.000 0.500 Mg
0.000 0.500 0.500 P
```



A plane-wave DFT calculation with PBE was carried out for a relaxed MgFeP2 crystal.

```
MgFeP2
1.0
-4.202 0.598 -1.174
1.157 -1.861 -3.820
-0.007 -1.763 4.036
Fe Mg P
1 1 2
direct
0.750 0.250 0.500 Fe
0.250 0.750 0.500 Mg
0.947 0.947 0.000 P
0.553 0.553 0.000 P
```



A plane-wave DFT calculation with PBE was carried out for a relaxed MgFe2P crystal.

```
MgFe2P
1.0
3.876 0.000 0.000
0.000 2.828 0.029
0.000 0.826 4.946
Fe Mg P
2 1 1
direct
0.000 0.828 0.986 Fe
0.000 0.672 0.514 Fe
0.500 0.250 0.250 Mg
0.500 0.750 0.750 P
```



A plane-wave DFT calculation with PBE was carried out for a relaxed MgFe2P crystal.

```
MgFe2P
1.0
3.901 -0.001 -0.001
1.952 3.377 -0.001
1.951 1.126 4.403
Fe Mg P
2 1 1
direct
0.024 0.024 0.929 Fe
0.293 0.293 0.121 Fe
0.494 0.494 0.520 Mg
0.690 0.690 0.931 P
```



A plane-wave DFT calculation with PBE was carried out for a relaxed MgFeP crystal.

```
MgFeP
1.0
-1.650 -3.126 -1.228
3.108 -0.994 4.058
-4.142 -1.109 2.683
P Mg Fe
2 2 2
direct
0.831 0.168 0.847 P
0.945 0.585 0.036 P
0.112 0.171 0.289 Mg
0.664 0.581 0.594 Mg
0.285 0.976 0.747 Fe
0.491 0.777 0.136 Fe
```



A plane-wave DFT calculation with PBE was carried out for a relaxed MgFeP2 crystal.

```
MgFeP2
1.0
3.315 0.000 0.000
0.000 4.140 0.000
0.000 0.000 4.140
Fe Mg P
1 1 2
direct
0.500 0.500 0.000 Fe
0.500 0.000 0.500 Mg
0.000 0.000 0.000 P
0.000 0.500 0.500 P
```



A plane-wave DFT calculation with PBE was carried out for a relaxed MgFe2P crystal.

```
MgFe2P
1.0
0.000 2.813 2.813
2.813 0.000 2.813
2.813 2.813 0.000
P Mg Fe
1 1 2
direct
0.500 0.500 0.500 P
0.000 0.000 0.000 Mg
0.250 0.250 0.250 Fe
0.750 0.750 0.750 Fe
```



A plane-wave DFT calculation with PBE was carried out for a relaxed MgFe2P crystal.

```
MgFe2P
1.0
6.720 0.000 0.000
0.000 6.720 0.000
3.360 3.360 2.553
P Mg Fe
2 2 4
direct
0.000 0.000 0.000 P
0.750 0.250 0.500 P
0.500 0.500 0.000 Mg
0.250 0.750 0.500 Mg
0.701 0.125 0.250 Fe
0.049 0.625 0.250 Fe
0.375 0.299 0.750 Fe
0.875 0.951 0.750 Fe
```



The M_tot results, record by record, are as follows: 0.000 0.000 4.020 0.970 0.550 0.575 4.194 3.915 1.141 2.114 0.001 5.986 Bohr magnetons per cell.
The ΔE_f results, record by record, are as follows: -0.218 -0.135 0.095 -0.129 0.044 -0.045 0.015 -0.148 -0.365 0.118 -0.023 0.133 eV/atom.